Fe3IF | PBE with a Hubbard U | optimized geometry

V ... 19.1 Å³/atom
Energy above the lowest structure with this stoichiometry ... 0.000 eV/atom

Geometry as CIF:
```
data_Fe3IF
_cell_length_a 4.570
_cell_length_b 4.570
_cell_length_c 4.570
_cell_angle_alpha 90.00
_cell_angle_beta 90.00
_cell_angle_gamma 90.00
_symmetry_space_group_name_H-M 'P m -3 m'
_symmetry_Int_Tables_number 221
_symmetry_space_group_name_Hall '-P 4 2 3'
loop_
_atom_site_label
_atom_site_type_symbol
_atom_site_fract_x
_atom_site_fract_y
_atom_site_fract_z
Fe1 Fe 0.000 0.000 0.500
I1 I 0.500 0.500 0.500
F1 F 0.000 0.000 0.000
```